[1]
The following is a DFT calculation (GGA+U) of a geometry-optimized TlFeAsF6 structure.

Values from the calculation:
Its space-group type is P1, No. 1. Its total energy is -4.7881 eV/atom. As for the mass density: 4.47 Mg/m³.

Lattice parameters (Å, degrees): 5.576 5.596 5.954 90.28 90.24 116.05
Atoms (fractional coordinates):
Tl 0.000 0.000 0.000
Fe 0.671 0.326 0.499
As 0.325 0.672 0.499
F 0.027 0.376 0.317
F 0.365 0.409 0.678
F 0.420 0.054 0.289
F 0.595 0.636 0.322
F 0.614 0.970 0.684
F 0.948 0.577 0.709

---

[2]
The following is a DFT calculation (GGA+U) of a geometry-optimized TlFeAsF2 structure.

Values from the calculation:
Its space-group type is P4/mmm, No. 123. Its total energy is -3.5932 eV/atom. As for the mass density: 5.04 Mg/m³.

Lattice parameters (Å, degrees): 4.314 4.314 6.608 90.00 90.00 90.00
Atoms (fractional coordinates):
Tl 0.000 0.000 0.000
Fe 0.000 0.000 0.500
As 0.500 0.500 0.500
F 0.000 0.500 0.000
F 0.500 0.000 0.000

---

- Which value of mass density does entry 2 give?
  5.04 Mg/m³

---

- Which of these has the lowest mass density?
  TlFeAsF6